Record 1
BeP4Ru | PBEsol | relaxed

Values from the calculation:
Calculated formation energy in eV per atom: 0.797
Spin magnetization in μB per cell: 0.00
Calculated volume in Å³ per cell: 78.91
DFT total energy in Ry per atom: -0.399

abc: 4.8145 4.8145 4.8145
angles: 60.00 60.00 60.00
Closest atoms and distances in Å follow each position.
Positions (direct):
P: 0.3732 0.3732 0.3732  6 P 2.37-2.44
P: 0.3732 0.8805 0.3732  6 P 2.37-2.44
P: 0.8805 0.3732 0.3732  6 P 2.37-2.44
P: 0.3732 0.3732 0.8805  6 P 2.37-2.44
Be: 0.0000 0.0000 0.0000  12 P 2.82, 4 Ru 2.95
Ru: 0.7500 0.7500 0.7500  12 P 2.83, 4 Be 2.95

Record 2
FeCl3 | PBEsol | relaxed

Values from the calculation:
Spin magnetization in μB per cell: 2.00
Calculated volume in Å³ per cell: 165.83
DFT total energy in Ry per atom: -0.323

abc: 6.7055 6.7055 6.7055
angles: 50.59 50.59 50.59
Closest atoms and distances in Å follow each position.
Positions (direct):
Cl: 0.4327 0.0719 0.7115  2 Fe 2.23
Cl: 0.9281 0.2885 0.5673  2 Fe 2.23
Cl: 0.2885 0.5673 0.9281  2 Fe 2.23
Cl: 0.0719 0.7115 0.4327  2 Fe 2.23
Cl: 0.7115 0.4327 0.0719  2 Fe 2.23
Cl: 0.5673 0.9281 0.2885  2 Fe 2.23
Fe: 0.6666 0.6666 0.6666  6 Cl 2.23
Fe: 0.3334 0.3334 0.3334  6 Cl 2.23

Record 3
BaLiAg2 | PBEsol | relaxed

Values from the calculation:
Calculated formation energy in eV per atom: -0.149
Spin magnetization in μB per cell: 0.00
ΔE to the lowest computed polymorph in meV/atom: 55
Calculated volume in Å³ per cell: 105.36
DFT total energy in Ry per atom: -0.208

abc: 4.6852 4.6791 6.1802
angles: 112.35 90.00 120.04
Closest atoms and distances in Å follow each position.
Positions (direct):
Ba: 0.4969 0.9939 0.4911  1 Li 3.15, 4 Ag 3.33-3.50
Ag: 0.6972 0.3945 0.0917  3 Ag 2.76, 3 Li 2.86
Ag: 0.9982 0.9964 0.9943  3 Li 2.73, 3 Ag 2.76
Li: 0.3076 0.6153 0.9229  6 Ag 2.73-2.86

Which of these has the lowest DFT total energy? BeP4Ru